[1]
Compound: ZrCdGe3
Source: the Alexandria database
Functional: GGA-PBEsol
Structure: relaxed

a = 4.934 Å, b = 4.934 Å, c = 4.934 Å
α = 90.00°, β = 90.00°, γ = 90.00°
Fractional positions:
Zr  0.000  0.000  0.000
Cd  0.500  0.500  0.500
Ge  0.000  0.500  0.500
Ge  0.500  0.000  0.500
Ge  0.500  0.500  0.000

As for the calculated formation energy: 933 meV per atom.


[2]
Compound: BaBeTe2Cl
Source: the Alexandria database
Functional: GGA-PBEsol
Structure: relaxed

a = 6.698 Å, b = 6.698 Å, c = 5.747 Å
α = 90.00°, β = 90.00°, γ = 90.00°
Fractional positions:
Ba  0.000  0.000  0.000
Be  0.500  0.500  0.500
Te  0.000  0.500  0.000
Te  0.500  0.000  0.000
Cl  0.000  0.000  0.500

The value obtained for the raw formation energy is 10.09 kcal/mol of atoms.


[3]
Compound: GaSi2H
Source: the Alexandria database
Functional: GGA-PBEsol
Structure: relaxed

a = 4.135 Å, b = 4.135 Å, c = 13.360 Å
α = 90.00°, β = 90.00°, γ = 90.00°
Fractional positions:
Ga  0.000  0.000  0.000
Ga  0.000  0.500  0.250
Ga  0.500  0.000  0.750
Ga  0.500  0.500  0.500
Si  0.153  0.250  0.625
Si  0.250  0.653  0.875
Si  0.250  0.847  0.375
Si  0.347  0.250  0.125
Si  0.653  0.750  0.125
Si  0.750  0.153  0.375
Si  0.750  0.347  0.875
Si  0.847  0.750  0.625
H  0.000  0.000  0.500
H  0.000  0.500  0.750
H  0.500  0.000  0.250
H  0.500  0.500  0.000

The value obtained for the total energy is -4.17 eV/atom.


[4]
Compound: LiCoPO4
Source: the Alexandria database
Functional: GGA-PBEsol
Structure: relaxed

a = 8.324 Å, b = 8.324 Å, c = 8.324 Å
α = 33.10°, β = 33.10°, γ = 33.10°
Fractional positions:
Li  0.217  0.217  0.217
Li  0.783  0.783  0.783
Co  0.337  0.337  0.337
Co  0.663  0.663  0.663
P  0.076  0.076  0.076
P  0.924  0.924  0.924
O  0.038  0.372  0.750
O  0.140  0.140  0.140
O  0.250  0.962  0.628
O  0.372  0.750  0.038
O  0.628  0.250  0.962
O  0.750  0.038  0.372
O  0.860  0.860  0.860
O  0.962  0.628  0.250

The value obtained for the raw formation energy is -42.23 kcal/mol of atoms. The value obtained for the polymorph energy (0 for the lowest one) is 21 meV per atom.